Arrangement a

# InPb2Br | Alexandria via LeMat-Bulk | PBE-GGA | relaxed
# * calculated volume: 30.76 Å³ per atom
# * DOS(E_F): 0.547 states/eV per atom
# * magnetization: 0.0000 μB per atom
data_InPb2Br
_cell_length_a 13.447
_cell_length_b 3.568
_cell_length_c 5.629
_cell_angle_alpha 90.00
_cell_angle_beta 114.35
_cell_angle_gamma 90.00
_symmetry_space_group_name_H-M 'C 1 m 1'
_symmetry_Int_Tables_number 8
loop_
_symmetry_equiv_pos_as_xyz
'x,y,z'
'x,-y,z'
'x+1/2,y+1/2,z'
'x+1/2,-y+1/2,z'
loop_
_atom_site_label
_atom_site_fract_x
_atom_site_fract_y
_atom_site_fract_z
In1 0.000 0.000 0.000
Pb1 0.247 0.500 0.246
Pb2 0.481 0.000 0.481
Br1 0.245 0.000 0.744

---

Arrangement b

# InPb2Br | Alexandria via LeMat-Bulk | PBE-GGA | relaxed
# * calculated volume: 41.16 Å³ per atom
# * DOS(E_F): 0.059 states/eV per atom
# * magnetization: 0.0000 μB per atom
data_InPb2Br
_cell_length_a 6.211
_cell_length_b 6.211
_cell_length_c 17.072
_cell_angle_alpha 90.00
_cell_angle_beta 90.00
_cell_angle_gamma 90.00
_symmetry_space_group_name_H-M 'I -4 2 d'
_symmetry_Int_Tables_number 122
_symmetry_space_group_name_Hall 'I -4 2bw'
loop_
_atom_site_label
_atom_site_fract_x
_atom_site_fract_y
_atom_site_fract_z
In1 0.000 0.000 0.000
Pb1 0.245 0.250 0.125
Br1 0.000 0.000 0.500

---

Arrangement c

# InPb2Br | Alexandria via LeMat-Bulk | PBE-GGA | relaxed
# * calculated volume: 30.57 Å³ per atom
# * DOS(E_F): 0.401 states/eV per atom
# * magnetization: 0.0000 μB per atom
data_InPb2Br
_cell_length_a 4.963
_cell_length_b 4.963
_cell_length_c 4.963
_cell_angle_alpha 90.00
_cell_angle_beta 90.00
_cell_angle_gamma 90.00
_symmetry_space_group_name_H-M 'P 4/m m m'
_symmetry_Int_Tables_number 123
_symmetry_space_group_name_Hall '-P 4 2'
loop_
_atom_site_label
_atom_site_fract_x
_atom_site_fract_y
_atom_site_fract_z
In1 0.000 0.000 0.000
Pb1 0.000 0.500 0.500
Br1 0.500 0.500 0.000

---

Arrangement d

# InPb2Br | Alexandria via LeMat-Bulk | PBE-GGA | relaxed
# * calculated volume: 30.50 Å³ per atom
# * DOS(E_F): 0.636 states/eV per atom
# * magnetization: 0.0000 μB per atom
data_InPb2Br
_cell_length_a 3.556
_cell_length_b 5.723
_cell_length_c 5.994
_cell_angle_alpha 90.00
_cell_angle_beta 90.00
_cell_angle_gamma 90.00
_symmetry_space_group_name_H-M 'P m m m'
_symmetry_Int_Tables_number 47
loop_
_symmetry_equiv_pos_as_xyz
'x,y,z'
'-x,-y,-z'
'-x,-y,z'
'x,y,-z'
'x,-y,-z'
'-x,y,z'
'-x,y,-z'
'x,-y,z'
loop_
_atom_site_label
_atom_site_fract_x
_atom_site_fract_y
_atom_site_fract_z
In1 0.000 0.000 0.000
Pb1 0.000 0.500 0.500
Pb2 0.500 0.500 0.000
Br1 0.500 0.000 0.500

---

The data favor arrangement d; the next most stable structure lies 15 meV per atom above it.

---

Arrangement a

# InPb2Br | Alexandria via LeMat-Bulk | PBE-GGA | relaxed
# * calculated volume: 30.57 Å³ per atom
# * DOS(E_F): 0.429 states/eV per atom
# * magnetization: 0.0000 μB per atom
data_InPb2Br
_cell_length_a 3.556
_cell_length_b 5.732
_cell_length_c 11.999
_cell_angle_alpha 90.00
_cell_angle_beta 90.00
_cell_angle_gamma 90.00
_symmetry_space_group_name_H-M 'I m m m'
_symmetry_Int_Tables_number 71
_symmetry_space_group_name_Hall '-I 2 2'
loop_
_atom_site_label
_atom_site_fract_x
_atom_site_fract_y
_atom_site_fract_z
In1 0.000 0.000 0.000
Pb1 0.000 0.500 0.262
Br1 0.000 0.000 0.500

---

Arrangement b

# InPb2Br | Alexandria via LeMat-Bulk | PBE-GGA | relaxed
# * calculated volume: 30.10 Å³ per atom
# * DOS(E_F): 0.498 states/eV per atom
# * magnetization: 0.0000 μB per atom
data_InPb2Br
_cell_length_a 3.6135
_cell_length_b 3.6135
_cell_length_c 31.9427
_cell_angle_alpha 90.00
_cell_angle_beta 90.00
_cell_angle_gamma 120.00
_symmetry_space_group_name_H-M 'R -3 m'
_symmetry_Int_Tables_number 166
_symmetry_space_group_name_Hall '-R 3 2"'
loop_
_atom_site_label
_atom_site_fract_x
_atom_site_fract_y
_atom_site_fract_z
In1 0.0000 0.0000 0.0000
Pb1 0.0000 0.0000 0.2452
Br1 0.0000 0.0000 0.5000

---

Arrangement c

# InPb2Br | Alexandria via LeMat-Bulk | PBE-GGA | relaxed
# * calculated volume: 29.49 Å³ per atom
# * DOS(E_F): 0.619 states/eV per atom
# * magnetization: 0.0000 μB per atom
data_InPb2Br
_cell_length_a 7.785
_cell_length_b 7.785
_cell_length_c 7.785
_cell_angle_alpha 90.00
_cell_angle_beta 90.00
_cell_angle_gamma 90.00
_symmetry_space_group_name_H-M 'F m -3 m'
_symmetry_Int_Tables_number 225
_symmetry_space_group_name_Hall '-F 4 2 3'
loop_
_atom_site_label
_atom_site_fract_x
_atom_site_fract_y
_atom_site_fract_z
In1 0.000 0.000 0.000
Pb1 0.250 0.250 0.250
Br1 0.000 0.000 0.500

---

The data favor arrangement a; the next most stable structure lies 12 meV per atom above it.

---

Arrangement a

# InPb2Br | Alexandria via LeMat-Bulk | PBE-GGA | relaxed
# * calculated volume: 29.79 Å³ per atom
# * DOS(E_F): 0.642 states/eV per atom
# * magnetization: 0.0000 μB per atom
data_InPb2Br
_cell_length_a 8.144
_cell_length_b 8.153
_cell_length_c 3.589
_cell_angle_alpha 90.00
_cell_angle_beta 90.00
_cell_angle_gamma 90.00
_symmetry_space_group_name_H-M 'C m m m'
_symmetry_Int_Tables_number 65
_symmetry_space_group_name_Hall '-C 2 2'
loop_
_atom_site_label
_atom_site_fract_x
_atom_site_fract_y
_atom_site_fract_z
In1 0.000 0.000 0.000
Pb1 0.250 0.250 0.500
Br1 0.000 0.500 0.000

---

Arrangement b

# InPb2Br | Alexandria via LeMat-Bulk | PBE-GGA | relaxed
# * calculated volume: 31.01 Å³ per atom
# * DOS(E_F): 0.660 states/eV per atom
# * magnetization: 0.0000 μB per atom
data_InPb2Br
_cell_length_a 4.615
_cell_length_b 4.615
_cell_length_c 11.647
_cell_angle_alpha 90.00
_cell_angle_beta 90.00
_cell_angle_gamma 90.00
_symmetry_space_group_name_H-M 'I -4 m 2'
_symmetry_Int_Tables_number 119
_symmetry_space_group_name_Hall 'I -4 -2'
loop_
_atom_site_label
_atom_site_fract_x
_atom_site_fract_y
_atom_site_fract_z
In1 0.000 0.000 0.000
Pb1 0.000 0.000 0.500
Pb2 0.000 0.500 0.750
Br1 0.000 0.500 0.250

---

Arrangement c

# InPb2Br | Alexandria via LeMat-Bulk | PBE-GGA | relaxed
# * calculated volume: 29.61 Å³ per atom
# * DOS(E_F): 0.416 states/eV per atom
# * magnetization: 0.0000 μB per atom
data_InPb2Br
_cell_length_a 3.655
_cell_length_b 3.655
_cell_length_c 8.865
_cell_angle_alpha 90.00
_cell_angle_beta 90.00
_cell_angle_gamma 90.00
_symmetry_space_group_name_H-M 'P 4/m m m'
_symmetry_Int_Tables_number 123
_symmetry_space_group_name_Hall '-P 4 2'
loop_
_atom_site_label
_atom_site_fract_x
_atom_site_fract_y
_atom_site_fract_z
In1 0.000 0.000 0.000
Pb1 0.500 0.500 0.242
Br1 0.000 0.000 0.500

---

Arrangement d

# InPb2Br | Alexandria via LeMat-Bulk | PBE-GGA | relaxed
# * calculated volume: 32.05 Å³ per atom
# * DOS(E_F): 0.752 states/eV per atom
# * magnetization: 0.0000 μB per atom
data_InPb2Br
_cell_length_a 3.6927
_cell_length_b 3.6927
_cell_length_c 32.5658
_cell_angle_alpha 90.00
_cell_angle_beta 90.00
_cell_angle_gamma 120.00
_symmetry_space_group_name_H-M 'R 3 m'
_symmetry_Int_Tables_number 160
_symmetry_space_group_name_Hall 'R 3 -2"'
loop_
_atom_site_label
_atom_site_fract_x
_atom_site_fract_y
_atom_site_fract_z
In1 0.0000 0.0000 0.0000
Pb1 0.0000 0.0000 0.2387
Pb2 0.0000 0.0000 0.4880
Br1 0.0000 0.0000 0.7318

---

The data favor arrangement c; the next most stable structure lies 31 meV per atom above it.

---

Arrangement a

# InPb2Br | Alexandria via LeMat-Bulk | PBE-GGA | relaxed
# * calculated volume: 30.63 Å³ per atom
# * DOS(E_F): 0.387 states/eV per atom
# * magnetization: 0.0000 μB per atom
data_InPb2Br
_cell_length_a 3.810
_cell_length_b 6.040
_cell_length_c 10.648
_cell_angle_alpha 90.00
_cell_angle_beta 90.00
_cell_angle_gamma 90.00
_symmetry_space_group_name_H-M 'C m m 2'
_symmetry_Int_Tables_number 35
loop_
_symmetry_equiv_pos_as_xyz
'x,y,z'
'-x,-y,z'
'-x,y,z'
'x,-y,z'
'x+1/2,y+1/2,z'
'-x+1/2,-y+1/2,z'
'-x+1/2,y+1/2,z'
'x+1/2,-y+1/2,z'
loop_
_atom_site_label
_atom_site_fract_x
_atom_site_fract_y
_atom_site_fract_z
In1 0.000 0.000 0.000
Pb1 0.000 0.000 0.468
Pb2 0.000 0.500 0.730
Br1 0.000 0.500 0.211

---

Arrangement b

# InPb2Br | Alexandria via LeMat-Bulk | PBE-GGA | relaxed
# * calculated volume: 29.86 Å³ per atom
# * DOS(E_F): 0.473 states/eV per atom
# * magnetization: 0.0000 μB per atom
data_InPb2Br
_cell_length_a 5.901
_cell_length_b 5.901
_cell_length_c 6.859
_cell_angle_alpha 90.00
_cell_angle_beta 90.00
_cell_angle_gamma 90.00
_symmetry_space_group_name_H-M 'I 4/m m m'
_symmetry_Int_Tables_number 139
_symmetry_space_group_name_Hall '-I 4 2'
loop_
_atom_site_label
_atom_site_fract_x
_atom_site_fract_y
_atom_site_fract_z
In1 0.000 0.000 0.000
Pb1 0.000 0.500 0.250
Br1 0.000 0.000 0.500

---

Arrangement c

# InPb2Br | Alexandria via LeMat-Bulk | PBE-GGA | relaxed
# * calculated volume: 31.58 Å³ per atom
# * DOS(E_F): 0.420 states/eV per atom
# * magnetization: 0.0000 μB per atom
data_InPb2Br
_cell_length_a 3.622
_cell_length_b 5.793
_cell_length_c 6.136
_cell_angle_alpha 90.00
_cell_angle_beta 101.07
_cell_angle_gamma 90.00
_symmetry_space_group_name_H-M 'P 1 m 1'
_symmetry_Int_Tables_number 6
loop_
_symmetry_equiv_pos_as_xyz
'x,y,z'
'x,-y,z'
loop_
_atom_site_label
_atom_site_fract_x
_atom_site_fract_y
_atom_site_fract_z
In1 0.000 0.000 0.000
Pb1 0.302 0.000 0.531
Pb2 0.787 0.500 0.461
Br1 0.595 0.500 0.971

---

The data favor arrangement c; the next most stable structure lies 48 meV per atom above it.

---

Arrangement a

# InPb2Br | Alexandria via LeMat-Bulk | PBE-GGA | relaxed
# * calculated volume: 31.00 Å³ per atom
# * DOS(E_F): 0.256 states/eV per atom
# * magnetization: 0.0000 μB per atom
data_InPb2Br
_cell_length_a 3.632
_cell_length_b 3.632
_cell_length_c 9.403
_cell_angle_alpha 90.00
_cell_angle_beta 90.00
_cell_angle_gamma 90.00
_symmetry_space_group_name_H-M 'P 4 m m'
_symmetry_Int_Tables_number 99
loop_
_symmetry_equiv_pos_as_xyz
'x,y,z'
'-y,x,z'
'-x,-y,z'
'y,-x,z'
'-x,y,z'
'y,x,z'
'x,-y,z'
'-y,-x,z'
loop_
_atom_site_label
_atom_site_fract_x
_atom_site_fract_y
_atom_site_fract_z
In1 0.000 0.000 0.000
Pb1 0.000 0.000 0.511
Pb2 0.500 0.500 0.266
Br1 0.500 0.500 0.805

---

Arrangement b

# InPb2Br | Alexandria via LeMat-Bulk | PBE-GGA | relaxed
# * calculated volume: 29.84 Å³ per atom
# * DOS(E_F): 0.530 states/eV per atom
# * magnetization: 0.0000 μB per atom
data_InPb2Br
_cell_length_a 7.816
_cell_length_b 7.816
_cell_length_c 7.816
_cell_angle_alpha 90.00
_cell_angle_beta 90.00
_cell_angle_gamma 90.00
_symmetry_space_group_name_H-M 'F -4 3 m'
_symmetry_Int_Tables_number 216
_symmetry_space_group_name_Hall 'F -4 2 3'
loop_
_atom_site_label
_atom_site_fract_x
_atom_site_fract_y
_atom_site_fract_z
In1 0.000 0.000 0.000
Pb1 0.000 0.000 0.500
Pb2 0.250 0.250 0.250
Br1 0.250 0.250 0.750

---

The data favor arrangement a; the next most stable structure lies 102 meV per atom above it.

---

Arrangement a

# InPb3Br | Alexandria via LeMat-Bulk | PBE-GGA | relaxed
# * calculated volume: 40.81 Å³ per atom
# * DOS(E_F): 0.820 states/eV per atom
# * magnetization: 0.0000 μB per atom
data_InPb3Br
_cell_length_a 5.887
_cell_length_b 5.887
_cell_length_c 5.887
_cell_angle_alpha 90.00
_cell_angle_beta 90.00
_cell_angle_gamma 90.00
_symmetry_space_group_name_H-M 'P m -3 m'
_symmetry_Int_Tables_number 221
_symmetry_space_group_name_Hall '-P 4 2 3'
loop_
_atom_site_label
_atom_site_fract_x
_atom_site_fract_y
_atom_site_fract_z
In1 0.000 0.000 0.000
Pb1 0.000 0.000 0.500
Br1 0.500 0.500 0.500

---

Arrangement b

# InPb3Br | Alexandria via LeMat-Bulk | PBE-GGA | relaxed
# * calculated volume: 38.67 Å³ per atom
# * DOS(E_F): 0.373 states/eV per atom
# * magnetization: 0.0000 μB per atom
data_InPb3Br
_cell_length_a 5.783
_cell_length_b 5.783
_cell_length_c 5.783
_cell_angle_alpha 90.00
_cell_angle_beta 90.00
_cell_angle_gamma 90.00
_symmetry_space_group_name_H-M 'P m -3 m'
_symmetry_Int_Tables_number 221
_symmetry_space_group_name_Hall '-P 4 2 3'
loop_
_atom_site_label
_atom_site_fract_x
_atom_site_fract_y
_atom_site_fract_z
In1 0.000 0.000 0.000
Pb1 0.000 0.500 0.500
Br1 0.500 0.500 0.500

---

The data favor arrangement a; the next most stable structure lies 72 meV per atom above it.